[1]
# KTcHg4 (PBE-GGA, relaxed)
data_KTcHg4
_chemical_formula_sum 'K4 Tc4 Hg16'
_cell_length_a 8.4790
_cell_length_b 8.4790
_cell_length_c 8.4790
_cell_angle_alpha 90.00
_cell_angle_beta 90.00
_cell_angle_gamma 90.00
_space_group_name_H-M_alt 'F -4 3 m'
_space_group_IT_number 216
_space_group_name_Hall 'F -4 2 3'
loop_
_atom_site_label
_atom_site_fract_x
_atom_site_fract_y
_atom_site_fract_z
K1 0.0000 0.0000 0.0000
Tc1 0.2500 0.2500 0.7500
Hg1 0.1243 0.1243 0.3757
# Calculated total energy: -1.5473 eV/atom
# E_form: 54.5 kJ/mol of atoms
# Total moment: 14.54 Bohr magnetons per cell


[2]
# PuH6Os (PBE-GGA, relaxed)
data_PuH6Os
_chemical_formula_sum 'Pu3 H18 Os3'
_cell_length_a 4.4143
_cell_length_b 4.4143
_cell_length_c 11.2817
_cell_angle_alpha 90.00
_cell_angle_beta 90.00
_cell_angle_gamma 120.00
_space_group_name_H-M_alt 'R -3 m'
_space_group_IT_number 166
_space_group_name_Hall '-R 3 2"'
loop_
_atom_site_label
_atom_site_fract_x
_atom_site_fract_y
_atom_site_fract_z
Pu1 0.0000 0.0000 0.0000
H1 0.0403 0.5201 0.9148
Os1 0.0000 0.0000 0.5000
# Calculated total energy: -5.8456 eV/atom
# Total moment: 12.00 Bohr magnetons per cell


[3]
# MnFeCo (PBE-GGA, relaxed)
data_MnFeCo
_chemical_formula_sum 'Mn2 Fe2 Co2'
_cell_length_a 2.5180
_cell_length_b 3.5124
_cell_length_c 7.6574
_cell_angle_alpha 90.00
_cell_angle_beta 90.00
_cell_angle_gamma 90.00
_space_group_name_H-M_alt 'P m m 2'
_space_group_IT_number 25
loop_
_space_group_symop_operation_xyz
'x,y,z'
'-x,-y,z'
'-x,y,z'
'x,-y,z'
loop_
_atom_site_label
_atom_site_fract_x
_atom_site_fract_y
_atom_site_fract_z
Mn1 0.0000 0.0000 0.0000
Mn2 0.5000 0.5000 0.1619
Fe1 0.0000 0.0000 0.3370
Fe2 0.5000 0.5000 0.8214
Co1 0.0000 0.0000 0.6573
Co2 0.5000 0.5000 0.4969
# Calculated total energy: -8.1685 eV/atom
# E_form: 7.5 kJ/mol of atoms
# Total moment: 7.14 Bohr magnetons per cell
# Relative energy among the computed polymorphs: 0.10 eV/f.u.